A plane-wave DFT calculation with PBE-GGA was carried out for an optimized crystal structure of Pu2TePd.

a = 4.199 Å, b = 4.199 Å, c = 7.767 Å
α = 74.32°, β = 74.32°, γ = 60.00°
Fractional positions:
Te  0.500  0.500  0.500
Pu  0.259  0.259  0.224
Pu  0.741  0.741  0.776
Pd  0.000  0.000  0.000

Uncorrected formation energy   -0.596 eV per atom
Relative energy among the computed polymorphs   0.042 eV per atom
Crystal system   trigonal